(1)
First-principles (PBE) data for crystalline AcHgPd6 at its relaxed geometry, as listed in Alexandria via LeMat-Bulk.

Cell: 5.3227 5.3227 5.3227 Å, 90.00 90.00 90.00°
Closest atoms and distances in Å follow each position.
Atoms (fractional coordinates):
Ac 0.0000 0.0000 0.0000  12 Pd 2.99
Hg 0.5000 0.5000 0.5000  12 Pd 2.96
Pd 0.0000 0.2556 0.5000  2 Pd 2.60-2.72
Pd 0.0000 0.7444 0.5000  2 Pd 2.60-2.72
Pd 0.2556 0.5000 0.0000  2 Pd 2.60-2.72
Pd 0.5000 0.0000 0.2556  2 Pd 2.60-2.72
Pd 0.5000 0.0000 0.7444  2 Pd 2.60-2.72
Pd 0.7444 0.5000 0.0000  2 Pd 2.60-2.72

Electronic total energy = -4.695 eV/atom
Space group = Pm-3, No. 200
Magnetic moment = 0.0 μB per formula unit


(2)
First-principles (PBE) data for crystalline U2Co3ReB12 at its relaxed geometry, as listed in Alexandria via LeMat-Bulk.

Cell: 8.2471 8.2471 8.2471 Å, 37.68 37.68 37.68°
Closest atoms and distances in Å follow each position.
Atoms (fractional coordinates):
U 0.1440 0.1440 0.1440  15 B 2.68-3.00
U 0.8560 0.8560 0.8560  15 B 2.68-3.00
Co 0.0000 0.5000 0.5000  6 B 2.08-2.09
Co 0.5000 0.0000 0.5000  6 B 2.08-2.09
Co 0.5000 0.5000 0.0000  6 B 2.08-2.09
Re 0.5000 0.5000 0.5000  6 B 2.12
B 0.1545 0.1545 0.4821  4 B 1.72-1.74
B 0.1545 0.4821 0.1545  4 B 1.72-1.74
B 0.1723 0.5475 0.5475  2 B 1.72
B 0.4525 0.4525 0.8277  2 B 1.72
B 0.4525 0.8277 0.4525  2 B 1.72
B 0.4821 0.1545 0.1545  4 B 1.72-1.74
B 0.5179 0.8455 0.8455  4 B 1.72-1.74
B 0.5475 0.1723 0.5475  2 B 1.72
B 0.5475 0.5475 0.1723  2 B 1.72
B 0.8277 0.4525 0.4525  2 B 1.72
B 0.8455 0.5179 0.8455  4 B 1.72-1.74
B 0.8455 0.8455 0.5179  4 B 1.72-1.74

Electronic total energy = -7.465 eV/atom
Space group = R-3m, No. 166
Magnetic moment = 4.8 μB per formula unit


(3)
First-principles (PBE) data for crystalline Ca2La6TcRh at its relaxed geometry, as listed in Alexandria via LeMat-Bulk.

Cell: 8.0089 8.0097 8.0135 Å, 60.13 60.20 60.21°
Closest atoms and distances in Å follow each position.
Atoms (fractional coordinates):
Ca 0.0000 0.0000 0.0000  12 La 3.99-4.02
Ca 0.4970 0.4989 0.4982  12 La 3.95-4.06, 1 Tc 4.43
La 0.0011 0.5008 0.5012  1 Tc 2.61, 1 Rh 2.87
La 0.0053 0.0078 0.4955  1 Rh 2.88, 1 Tc 3.02
La 0.0061 0.4947 0.0078  1 Rh 2.88, 1 Tc 3.03
La 0.4952 0.0073 0.0071  1 Rh 2.88, 1 Tc 3.04
La 0.5000 0.0018 0.5011  1 Tc 2.61, 1 Rh 2.87
La 0.4996 0.5002 0.0023  1 Tc 2.62, 1 Rh 2.87
Tc 0.2703 0.2716 0.2745  3 La 2.61-2.62
Rh 0.7527 0.7526 0.7541  6 La 2.87-2.88

Electronic total energy = -5.294 eV/atom
Space group = P1, No. 1
Magnetic moment = 0.0 μB per formula unit


(4)
First-principles (PBE) data for crystalline TaNiRh2 at its relaxed geometry, as listed in Alexandria via LeMat-Bulk.

Cell: 3.8930 3.8930 3.7298 Å, 90.00 90.00 90.00°
Closest atoms and distances in Å follow each position.
Atoms (fractional coordinates):
Ta 0.0000 0.0000 0.0000  8 Rh 2.70, 4 Ni 2.75
Ni 0.5000 0.5000 0.0000  8 Rh 2.70, 4 Ta 2.75
Rh 0.0000 0.5000 0.5000  4 Ni 2.70, 4 Ta 2.70, 4 Rh 2.75
Rh 0.5000 0.0000 0.5000  4 Ni 2.70, 4 Ta 2.70, 4 Rh 2.75

Electronic total energy = -8.612 eV/atom
Space group = P4/mmm, No. 123
Magnetic moment = 0.0 μB per formula unit


(5)
First-principles (PBE) data for crystalline K2PrCu2O4 at its relaxed geometry, as listed in Alexandria via LeMat-Bulk.

Cell: 7.0087 7.0087 6.4822 Å, 106.00 106.00 29.28°
Closest atoms and distances in Å follow each position.
Atoms (fractional coordinates):
K 0.1296 0.1296 0.0593  5 O 2.80-3.10, 1 Cu 3.11
K 0.8704 0.8704 0.9407  5 O 2.80-3.10, 1 Cu 3.11
Pr 0.0000 0.0000 0.5000  6 O 2.40-2.54
Cu 0.3166 0.3166 0.4702  3 O 1.97-2.12
Cu 0.6834 0.6834 0.5298  3 O 1.97-2.12
O 0.1933 0.1933 0.6673  2 Cu 1.97
O 0.4598 0.4598 0.7118  1 Cu 2.12
O 0.5402 0.5402 0.2882  1 Cu 2.12
O 0.8067 0.8067 0.3327  2 Cu 1.97

Space group = C2/m, No. 12
Magnetic moment = 0.9 μB per formula unit
Formation energy without anion corrections = -12.95 eV/f.u.


(6)
First-principles (PBE) data for crystalline Li2SnSb2 at its relaxed geometry, as listed in Alexandria via LeMat-Bulk.

Cell: 8.3769 8.3769 3.2697 Å, 90.00 90.00 90.00°
Closest atoms and distances in Å follow each position.
Atoms (fractional coordinates):
Li 0.1174 0.3826 0.0000  1 Li 2.78, 6 Sb 2.90-3.03
Li 0.3826 0.8826 0.0000  1 Li 2.78, 6 Sb 2.90-3.03
Li 0.6174 0.1174 0.0000  1 Li 2.78, 6 Sb 2.90-3.03
Li 0.8826 0.6174 0.0000  1 Li 2.78, 6 Sb 2.90-3.03
Sn 0.0000 0.0000 0.0000  2 Sn 3.27, 4 Li 3.35, 8 Sb 3.48
Sn 0.5000 0.5000 0.0000  2 Sn 3.27, 4 Li 3.35, 8 Sb 3.48
Sb 0.1805 0.6805 0.5000  6 Li 2.90-3.03
Sb 0.3195 0.1805 0.5000  6 Li 2.90-3.03
Sb 0.6805 0.8195 0.5000  6 Li 2.90-3.03
Sb 0.8195 0.3195 0.5000  6 Li 2.90-3.03

Energy relative to the lowest polymorph listed for this composition = 73 meV/atom
Space group = P4/mbm, No. 127
Magnetic moment = 0.0 μB per formula unit
Formation energy without anion corrections = -1.24 eV/f.u.


(7)
First-principles (PBE) data for crystalline AlTc2PtW at its relaxed geometry, as listed in Alexandria via LeMat-Bulk.

Cell: 4.6249 4.6249 4.7545 Å, 90.00 90.00 90.00°
Closest atoms and distances in Å follow each position.
Atoms (fractional coordinates):
Al 0.0000 0.0000 0.0000  2 W 2.38
Tc 0.0000 0.5000 0.5000  2 W 2.31
Tc 0.5000 0.0000 0.5000  2 W 2.31
Pt 0.5000 0.5000 0.0000  4 Al 3.27, 8 Tc 3.32
W 0.0000 0.0000 0.5000  4 Tc 2.31, 2 Al 2.38

Electronic total energy = -7.150 eV/atom
Space group = P4/mmm, No. 123
Magnetic moment = 1.3 μB per formula unit


(8)
First-principles (PBE) data for crystalline AgW at its relaxed geometry, as listed in Alexandria via LeMat-Bulk.

Cell: 2.6850 2.6850 4.7972 Å, 90.00 90.00 104.87°
Closest atoms and distances in Å follow each position.
Atoms (fractional coordinates):
Ag 0.0000 0.0000 0.0000  4 Ag 2.69, 4 W 2.90
W 0.5000 0.5000 0.5000  4 W 2.69, 4 Ag 2.90

Energy relative to the lowest polymorph listed for this composition = 337 meV/atom
Space group = Cmmm, No. 65
Magnetic moment = 0.0 μB per formula unit